VASP calculation (PBE) on a geometry-optimized SrPH structure.

```
data_SrPH
_chemical_formula_sum 'Sr4 P4 H4'
_cell_length_a 3.6274
_cell_length_b 8.0598
_cell_length_c 8.0174
_cell_angle_alpha 90.00
_cell_angle_beta 90.00
_cell_angle_gamma 90.00
_symmetry_space_group_name_H-M 'C m c m'
_symmetry_Int_Tables_number 63
_symmetry_space_group_name_Hall '-C 2c 2'
loop_
_atom_site_label
_atom_site_fract_x
_atom_site_fract_y
_atom_site_fract_z
Sr1 0.0000 0.0000 0.0000
P1 0.0000 0.3030 0.2500
H1 0.0000 0.1945 0.7500
```

distance to the lowest polymorph of the same formula	67	kJ/mol of formula units
size of the total moment	0.000	μB per formula unit

=====

VASP calculation (PBE) on a geometry-optimized Tc2HgPt structure.

```
data_Tc2HgPt
_chemical_formula_sum 'Tc4 Hg2 Pt2'
_cell_length_a 5.3924
_cell_length_b 8.6404
_cell_length_c 2.7737
_cell_angle_alpha 90.00
_cell_angle_beta 90.00
_cell_angle_gamma 90.00
_symmetry_space_group_name_H-M 'C m m m'
_symmetry_Int_Tables_number 65
_symmetry_space_group_name_Hall '-C 2 2'
loop_
_atom_site_label
_atom_site_fract_x
_atom_site_fract_y
_atom_site_fract_z
Tc1 0.2500 0.2500 0.0000
Hg1 0.0000 0.0000 0.5000
Pt1 0.0000 0.5000 0.5000
```

formation energy from the elements	0.432	eV/atom
size of the total moment	0.006	μB per formula unit

=====

VASP calculation (PBE) on a geometry-optimized AlAgC structure.

```
data_AlAgC
_chemical_formula_sum 'Al2 Ag2 C2'
_cell_length_a 3.3948
_cell_length_b 3.3948
_cell_length_c 8.6175
_cell_angle_alpha 90.00
_cell_angle_beta 90.00
_cell_angle_gamma 120.00
_symmetry_space_group_name_H-M 'P 63/m m c'
_symmetry_Int_Tables_number 194
_symmetry_space_group_name_Hall '-P 6c 2c'
loop_
_atom_site_label
_atom_site_fract_x
_atom_site_fract_y
_atom_site_fract_z
Al1 0.3333 0.6667 0.2500
Ag1 0.0000 0.0000 0.0000
C1 0.3333 0.6667 0.7500
```

formation energy from the elements	0.559	eV/atom
size of the total moment	0.000	μB per formula unit

=====

VASP calculation (PBE) on a geometry-optimized NaMg2Tl5 structure.

```
data_NaMg2Tl5
_chemical_formula_sum 'Na2 Mg4 Tl10'
_cell_length_a 7.6151
_cell_length_b 7.6151
_cell_length_c 7.5027
_cell_angle_alpha 90.00
_cell_angle_beta 90.00
_cell_angle_gamma 90.00
_symmetry_space_group_name_H-M 'I 4 m m'
_symmetry_Int_Tables_number 107
_symmetry_space_group_name_Hall 'I 4 -2'
loop_
_atom_site_label
_atom_site_fract_x
_atom_site_fract_y
_atom_site_fract_z
Na1 0.0000 0.0000 0.0000
Mg1 0.0000 0.5000 0.4993
Tl1 0.0000 0.0000 0.4990
Tl2 0.2502 0.2502 0.2495
```

formation energy from the elements	-0.026	eV/atom
size of the total moment	0.000	μB per formula unit

=====

VASP calculation (PBE) on a geometry-optimized PuMgBiRh structure.

```
data_PuMgBiRh
_chemical_formula_sum 'Pu4 Mg4 Bi4 Rh4'
_cell_length_a 7.1111
_cell_length_b 7.1111
_cell_length_c 7.1111
_cell_angle_alpha 90.00
_cell_angle_beta 90.00
_cell_angle_gamma 90.00
_symmetry_space_group_name_H-M 'F -4 3 m'
_symmetry_Int_Tables_number 216
_symmetry_space_group_name_Hall 'F -4 2 3'
loop_
_atom_site_label
_atom_site_fract_x
_atom_site_fract_y
_atom_site_fract_z
Pu1 0.0000 0.0000 0.0000
Mg1 0.0000 0.0000 0.5000
Bi1 0.2500 0.2500 0.7500
Rh1 0.2500 0.2500 0.2500
```

formation energy from the elements	-0.169	eV/atom
size of the total moment	5.126	μB per formula unit

=====

VASP calculation (PBE) on a geometry-optimized MgMn2N structure.

```
data_MgMn2N
_chemical_formula_sum 'Mg4 Mn8 N4'
_cell_length_a 6.0221
_cell_length_b 6.0221
_cell_length_c 6.0221
_cell_angle_alpha 90.00
_cell_angle_beta 90.00
_cell_angle_gamma 90.00
_symmetry_space_group_name_H-M 'F m -3 m'
_symmetry_Int_Tables_number 225
_symmetry_space_group_name_Hall '-F 4 2 3'
loop_
_atom_site_label
_atom_site_fract_x
_atom_site_fract_y
_atom_site_fract_z
Mg1 0.0000 0.0000 0.0000
Mn1 0.2500 0.2500 0.2500
N1 0.0000 0.0000 0.5000
```

formation energy without anion corrections	4.4	eV/f.u.
distance to the lowest polymorph of the same formula	397	kJ/mol of formula units
size of the total moment	8.160	μB per formula unit